No. 1
## SrRh (PBE-GGA)

Data for an optimized crystal structure of SrRh.

Cell and atoms, written as POSCAR:
```
SrRh
1.0
4.124 0.000 0.000
-2.062 3.571 0.000
0.000 0.000 8.905
Sr Rh
2 2
direct
0.333 0.667 0.212 Sr
0.667 0.333 0.788 Sr
0.333 0.667 0.538 Rh
0.667 0.333 0.462 Rh
```

## Properties
Space-group type ... P-3m1, No. 164
Formation energy from the elements ... 0.090 eV per atom
E ... -8.9 eV per formula unit

=====

No. 2
## SrRh (PBE-GGA)

Data for an optimized crystal structure of SrRh.

Cell and atoms, written as POSCAR:
```
SrRh
1.0
-5.512 5.512 2.227
5.512 -5.512 2.227
5.512 5.512 -2.227
Sr Rh
4 4
direct
0.000 0.262 0.262 Sr
0.000 0.738 0.738 Sr
0.262 0.000 0.262 Sr
0.738 0.000 0.738 Sr
0.279 0.279 0.559 Rh
0.279 0.721 0.000 Rh
0.721 0.279 0.000 Rh
0.721 0.721 0.441 Rh
```

## Properties
Space-group type ... I4/mmm, No. 139
Formation energy from the elements ... -0.054 eV per atom
E ... -9.1 eV per formula unit

=====

No. 3
## SrRh8 (PBE-GGA)

Data for an optimized crystal structure of SrRh8.

Cell and atoms, written as POSCAR:
```
SrRh8
1.0
-4.258 4.258 1.969
4.258 -4.258 1.969
4.258 4.258 -1.969
Sr Rh
1 8
direct
0.000 0.000 0.000 Sr
0.000 0.341 0.341 Rh
0.000 0.659 0.659 Rh
0.318 0.318 0.636 Rh
0.318 0.682 0.000 Rh
0.341 0.000 0.341 Rh
0.659 0.000 0.659 Rh
0.682 0.318 0.000 Rh
0.682 0.682 0.364 Rh
```

## Properties
Space-group type ... I4/mmm, No. 139
Formation energy from the elements ... 0.183 eV per atom
E ... -58.8 eV per formula unit

=====

No. 4
## Sr3Rh (PBE-GGA)

Data for an optimized crystal structure of Sr3Rh.

Cell and atoms, written as POSCAR:
```
Sr3Rh
1.0
-2.889 2.889 3.904
2.889 -2.889 3.904
2.889 2.889 -3.904
Sr Rh
3 1
direct
0.000 0.000 0.000 Sr
0.250 0.750 0.500 Sr
0.750 0.250 0.500 Sr
0.500 0.500 0.000 Rh
```

## Properties
Space-group type ... I4/mmm, No. 139
Formation energy from the elements ... 0.193 eV per atom
E ... -11.6 eV per formula unit

=====

No. 5
## SrRh (PBE-GGA)

Data for an optimized crystal structure of SrRh.

Cell and atoms, written as POSCAR:
```
SrRh
1.0
3.628 0.000 0.000
0.000 3.628 0.000
0.000 0.000 8.628
Sr Rh
2 2
direct
0.250 0.250 0.214 Sr
0.750 0.750 0.786 Sr
0.250 0.250 0.542 Rh
0.750 0.750 0.458 Rh
```

## Properties
Space-group type ... P4/nmm, No. 129
Formation energy from the elements ... 0.044 eV per atom
E ... -8.9 eV per formula unit

=====

No. 6
## Sr5Rh (PBE-GGA)

Data for an optimized crystal structure of Sr5Rh.

Cell and atoms, written as POSCAR:
```
Sr5Rh
1.0
2.141 -9.999 0.000
2.141 9.999 0.000
0.000 0.000 6.364
Sr Rh
5 1
direct
0.000 0.000 0.000 Sr
0.104 0.896 0.500 Sr
0.333 0.667 0.000 Sr
0.667 0.333 0.000 Sr
0.896 0.104 0.500 Sr
0.500 0.500 0.500 Rh
```

## Properties
Space-group type ... Cmmm, No. 65
Formation energy from the elements ... 0.080 eV per atom
Polymorph energy (0 for the lowest one) ... 1.18 eV/f.u.
E ... -15.3 eV per formula unit

=====

No. 7
## Sr3Rh (PBE-GGA)

Data for an optimized crystal structure of Sr3Rh.

Cell and atoms, written as POSCAR:
```
Sr3Rh
1.0
3.803 0.000 0.000
0.000 4.024 0.000
0.000 0.000 10.636
Sr Rh
3 1
direct
0.000 0.000 0.000 Sr
0.000 0.500 0.355 Sr
0.500 0.500 0.678 Sr
0.500 0.000 0.483 Rh
```

## Properties
Space-group type ... Pmm2, No. 25
Formation energy from the elements ... 0.046 eV per atom
E ... -12.2 eV per formula unit

=====

No. 8
## SrRh (PBE-GGA)

Data for an optimized crystal structure of SrRh.

Cell and atoms, written as POSCAR:
```
SrRh
1.0
6.133 -1.757 0.000
6.133 1.757 0.000
-1.970 0.000 4.536
Sr Rh
2 2
direct
0.109 0.109 0.356 Sr
0.891 0.891 0.644 Sr
0.339 0.339 0.094 Rh
0.661 0.661 0.906 Rh
```

## Properties
Space-group type ... C2/m, No. 12
Formation energy from the elements ... -0.031 eV per atom
E ... -9.1 eV per formula unit

=====

No. 9
## Sr4Rh (PBE-GGA)

Data for an optimized crystal structure of Sr4Rh.

Cell and atoms, written as POSCAR:
```
Sr4Rh
1.0
0.000 6.176 6.176
6.176 0.000 6.176
6.176 6.176 0.000
Sr Rh
8 2
direct
0.240 0.753 0.753 Sr
0.247 0.247 0.247 Sr
0.247 0.247 0.760 Sr
0.247 0.760 0.247 Sr
0.753 0.240 0.753 Sr
0.753 0.753 0.240 Sr
0.753 0.753 0.753 Sr
0.760 0.247 0.247 Sr
0.375 0.375 0.375 Rh
0.625 0.625 0.625 Rh
```

## Properties
Space-group type ... Fd-3m, No. 227
Formation energy from the elements ... 0.074 eV per atom
Polymorph energy (0 for the lowest one) ... 1.30 eV/f.u.
E ... -13.7 eV per formula unit

=====

No. 10
## Sr6Rh (PBE-GGA)

Data for an optimized crystal structure of Sr6Rh.

Cell and atoms, written as POSCAR:
```
Sr6Rh
1.0
14.039 0.000 0.000
0.000 12.831 0.000
0.000 0.000 7.397
Sr Rh
24 4
direct
0.003 0.250 0.237 Sr
0.007 0.087 0.751 Sr
0.007 0.413 0.751 Sr
0.246 0.088 0.081 Sr
0.246 0.412 0.081 Sr
0.249 0.250 0.594 Sr
0.251 0.750 0.094 Sr
0.254 0.588 0.581 Sr
0.254 0.912 0.581 Sr
0.493 0.587 0.251 Sr
0.493 0.913 0.251 Sr
0.497 0.750 0.737 Sr
0.503 0.250 0.263 Sr
0.507 0.087 0.749 Sr
0.507 0.413 0.749 Sr
0.746 0.088 0.419 Sr
0.746 0.412 0.419 Sr
0.749 0.250 0.906 Sr
0.751 0.750 0.406 Sr
0.754 0.588 0.919 Sr
0.754 0.912 0.919 Sr
0.993 0.587 0.249 Sr
0.993 0.913 0.249 Sr
0.997 0.750 0.763 Sr
0.126 0.250 0.915 Rh
0.374 0.750 0.415 Rh
0.626 0.250 0.585 Rh
0.874 0.750 0.085 Rh
```

## Properties
Space-group type ... Pnma, No. 62
Formation energy from the elements ... -0.165 eV per atom
E ... -18.6 eV per formula unit

=====

No. 11
## Sr3Rh2 (PBE-GGA)

Data for an optimized crystal structure of Sr3Rh2.

Cell and atoms, written as POSCAR:
```
Sr3Rh2
1.0
2.284 -7.587 0.000
2.284 7.587 0.000
0.000 0.000 4.699
Sr Rh
3 2
direct
0.000 0.000 0.000 Sr
0.345 0.655 0.500 Sr
0.655 0.345 0.500 Sr
0.217 0.783 0.000 Rh
0.783 0.217 0.000 Rh
```

## Properties
Space-group type ... Cmmm, No. 65
Formation energy from the elements ... -0.187 eV per atom
Polymorph energy (0 for the lowest one) ... 0.00 eV/f.u.
E ... -20.7 eV per formula unit

=====

No. 12
## Sr2Rh (PBE-GGA)

Data for an optimized crystal structure of Sr2Rh.

Cell and atoms, written as POSCAR:
```
Sr2Rh
1.0
4.392 0.000 0.000
-2.196 3.803 0.000
0.000 0.000 6.820
Sr Rh
2 1
direct
0.333 0.667 0.275 Sr
0.667 0.333 0.725 Sr
0.000 0.000 0.500 Rh
```

## Properties
Space-group type ... P-3m1, No. 164
Formation energy from the elements ... -0.103 eV per atom
E ... -11.0 eV per formula unit